No. 1
# meta-GGA SCAN ZrAlSi2, single point on PBEsol structure
data_ZrAlSi2
_chemical_formula_sum 'Zr2 Al2 Si4'
_symmetry_space_group_name_H-M 'P 1'
_symmetry_Int_Tables_number 1
_cell_length_a 4.698
_cell_length_b 4.698
_cell_length_c 7.239
_cell_angle_alpha 90.00
_cell_angle_beta 90.00
_cell_angle_gamma 120.00
loop_
_symmetry_equiv_pos_as_xyz
'x,y,z'
loop_
_atom_site_label
_atom_site_fract_x
_atom_site_fract_y
_atom_site_fract_z
Zr1 0.000 0.000 0.250
Zr2 0.000 0.000 0.750
Al1 0.333 0.667 0.250
Al2 0.667 0.333 0.750
Si1 0.333 0.667 0.585
Si2 0.333 0.667 0.915
Si3 0.667 0.333 0.085
Si4 0.667 0.333 0.415
# Final energy   -114.41 eV for the cell shown

---

No. 2
# meta-GGA SCAN Rb2NaPdF6, single point on PBEsol structure
data_Rb2NaPdF6
_chemical_formula_sum 'Rb2 Na1 Pd1 F6'
_symmetry_space_group_name_H-M 'P 1'
_symmetry_Int_Tables_number 1
_cell_length_a 6.032
_cell_length_b 6.032
_cell_length_c 6.032
_cell_angle_alpha 60.00
_cell_angle_beta 60.00
_cell_angle_gamma 60.00
loop_
_symmetry_equiv_pos_as_xyz
'x,y,z'
loop_
_atom_site_label
_atom_site_fract_x
_atom_site_fract_y
_atom_site_fract_z
Rb1 0.250 0.250 0.250
Rb2 0.750 0.750 0.750
Na1 0.000 0.000 0.000
Pd1 0.500 0.500 0.500
F1 0.263 0.263 0.737
F2 0.263 0.737 0.263
F3 0.263 0.737 0.737
F4 0.737 0.263 0.263
F5 0.737 0.263 0.737
F6 0.737 0.737 0.263
# Final energy   -124.20 eV for the cell shown

---

no.,E_form (uncorrected) (meV/atom)
1,319
2,-2450